[1]
A geometry-optimized Ni2Pt7 structure, computed with GGA-PBE.

CIF file:
```
data_Ni2Pt7
_chemical_formula_sum 'Ni2 Pt7'
_cell_length_a 4.7851
_cell_length_b 4.7851
_cell_length_c 6.7426
_cell_angle_alpha 90.00
_cell_angle_beta 90.00
_cell_angle_gamma 60.00
_space_group_name_H-M_alt 'P 1'
_space_group_IT_number 1
_space_group_name_Hall 'P 1'
loop_
_atom_site_label
_atom_site_type_symbol
_atom_site_fract_x
_atom_site_fract_y
_atom_site_fract_z
Pt1 Pt 0.3333 0.3333 0.0000
Pt2 Pt 0.6707 0.3333 0.6769
Pt3 Pt 0.3333 0.6707 0.3231
Pt4 Pt 0.6707 0.9959 0.3231
Pt5 Pt 0.9959 0.6707 0.6769
Pt6 Pt 0.3333 0.9959 0.6769
Pt7 Pt 0.9959 0.3333 0.3231
Ni1 Ni 0.6667 0.6667 0.0000
Ni2 Ni 0.0000 0.0000 0.0000
```

Computed properties:
E = -54.32 eV per cell



[2]
A geometry-optimized SrLiCd structure, computed with GGA-PBE.

CIF file:
```
data_SrLiCd
_chemical_formula_sum 'Sr2 Li2 Cd2'
_cell_length_a 4.8926
_cell_length_b 4.8924
_cell_length_c 8.7972
_cell_angle_alpha 89.98
_cell_angle_beta 90.00
_cell_angle_gamma 59.97
_space_group_name_H-M_alt 'P 1'
_space_group_IT_number 1
_space_group_name_Hall 'P 1'
loop_
_atom_site_label
_atom_site_type_symbol
_atom_site_fract_x
_atom_site_fract_y
_atom_site_fract_z
Cd1 Cd 0.6666 0.1666 0.9321
Cd2 Cd 0.3334 0.8334 0.0679
Sr1 Sr 0.3333 0.8334 0.6737
Sr2 Sr 0.6667 0.1666 0.3263
Li1 Li 0.0001 0.5000 0.1359
Li2 Li 0.9999 0.5000 0.8641
```

Computed properties:
E = -9.76 eV per cell



[3]
A geometry-optimized Na2VCrGe structure, computed with GGA-PBE.

CIF file:
```
data_Na2VCrGe
_chemical_formula_sum 'Na2 V1 Cr1 Ge1'
_cell_length_a 5.3454
_cell_length_b 4.3300
_cell_length_c 5.3454
_cell_angle_alpha 90.00
_cell_angle_beta 90.00
_cell_angle_gamma 90.00
_space_group_name_H-M_alt 'P 1'
_space_group_IT_number 1
_space_group_name_Hall 'P 1'
loop_
_atom_site_label
_atom_site_type_symbol
_atom_site_fract_x
_atom_site_fract_y
_atom_site_fract_z
Na1 Na 0.5000 0.0000 0.0000
Na2 Na 0.0000 0.0000 0.5000
Ge1 Ge 0.5000 0.5000 0.5000
Cr1 Cr 0.0000 0.0000 0.0000
V1 V 0.0000 0.5000 0.0000
```

Computed properties:
E = -20.05 eV per cell



[4]
A geometry-optimized CeEr3Hg2 structure, computed with GGA-PBE.

CIF file:
```
data_CeEr3Hg2
_chemical_formula_sum 'Ce1 Er3 Hg2'
_cell_length_a 3.6346
_cell_length_b 3.6346
_cell_length_c 12.0943
_cell_angle_alpha 90.00
_cell_angle_beta 90.00
_cell_angle_gamma 90.00
_space_group_name_H-M_alt 'P 1'
_space_group_IT_number 1
_space_group_name_Hall 'P 1'
loop_
_atom_site_label
_atom_site_type_symbol
_atom_site_fract_x
_atom_site_fract_y
_atom_site_fract_z
Ce1 Ce 0.5000 0.5000 0.5000
Er1 Er 0.0000 0.0000 0.6895
Er2 Er 0.0000 0.0000 0.3105
Er3 Er 0.0000 0.0000 0.0000
Hg1 Hg 0.5000 0.5000 0.1565
Hg2 Hg 0.5000 0.5000 0.8435
```

Computed properties:
E = -21.95 eV per cell



[5]
A geometry-optimized KLiS2N structure, computed with GGA-PBE.

CIF file:
```
data_KLiS2N
_chemical_formula_sum 'K1 Li1 S2 N1'
_cell_length_a 4.5708
_cell_length_b 4.5708
_cell_length_c 4.9456
_cell_angle_alpha 90.00
_cell_angle_beta 90.00
_cell_angle_gamma 90.00
_space_group_name_H-M_alt 'P 1'
_space_group_IT_number 1
_space_group_name_Hall 'P 1'
loop_
_atom_site_label
_atom_site_type_symbol
_atom_site_fract_x
_atom_site_fract_y
_atom_site_fract_z
S1 S 0.5000 0.0000 0.0000
S2 S 0.0000 0.5000 0.0000
K1 K 0.5000 0.5000 0.5000
N1 N 0.0000 0.0000 0.5000
Li1 Li 0.0000 0.0000 0.0000
```

Computed properties:
Formation energy without anion corrections = 0.52 eV per atom
E = -16.97 eV per cell



[6]
A geometry-optimized La3NdTm2 structure, computed with GGA-PBE.

CIF file:
```
data_La3NdTm2
_chemical_formula_sum 'La3 Nd1 Tm2'
_cell_length_a 3.4982
_cell_length_b 6.0203
_cell_length_c 10.4968
_cell_angle_alpha 106.66
_cell_angle_beta 99.59
_cell_angle_gamma 90.00
_space_group_name_H-M_alt 'P 1'
_space_group_IT_number 1
_space_group_name_Hall 'P 1'
loop_
_atom_site_label
_atom_site_type_symbol
_atom_site_fract_x
_atom_site_fract_y
_atom_site_fract_z
Tm1 Tm 0.6377 0.6377 0.2754
Tm2 Tm 0.3623 0.3623 0.7246
La1 La 0.1888 0.1888 0.3776
La2 La 0.0000 0.5000 0.0000
La3 La 0.8112 0.8112 0.6224
Nd1 Nd 0.0000 0.0000 0.0000
```

Computed properties:
E = -26.69 eV per cell



[7]
A geometry-optimized SrCdGe2 structure, computed with GGA-PBE.

CIF file:
```
data_SrCdGe2
_chemical_formula_sum 'Sr4 Cd4 Ge8'
_cell_length_a 4.6637
_cell_length_b 7.2905
_cell_length_c 11.7959
_cell_angle_alpha 90.00
_cell_angle_beta 90.00
_cell_angle_gamma 90.00
_space_group_name_H-M_alt 'P 1'
_space_group_IT_number 1
_space_group_name_Hall 'P 1'
loop_
_atom_site_label
_atom_site_type_symbol
_atom_site_fract_x
_atom_site_fract_y
_atom_site_fract_z
Cd1 Cd 0.7500 0.3408 0.0541
Cd2 Cd 0.2500 0.6592 0.9459
Cd3 Cd 0.7500 0.8408 0.4459
Cd4 Cd 0.2500 0.1592 0.5541
Ge1 Ge 0.7500 0.4750 0.8345
Ge2 Ge 0.2500 0.0250 0.3345
Ge3 Ge 0.2500 0.6671 0.3632
Ge4 Ge 0.2500 0.5250 0.1655
Ge5 Ge 0.7500 0.9750 0.6655
Ge6 Ge 0.7500 0.3329 0.6368
Ge7 Ge 0.2500 0.1671 0.1368
Ge8 Ge 0.7500 0.8329 0.8632
Sr1 Sr 0.2500 0.1511 0.8512
Sr2 Sr 0.7500 0.3489 0.3512
Sr3 Sr 0.7500 0.8489 0.1488
Sr4 Sr 0.2500 0.6511 0.6488
```

Computed properties:
E = -53.09 eV per cell



[8]
A geometry-optimized Mg2Te2Pb structure, computed with GGA-PBE.

CIF file:
```
data_Mg2Te2Pb
_chemical_formula_sum 'Mg4 Te4 Pb2'
_cell_length_a 8.4994
_cell_length_b 8.4994
_cell_length_c 3.8932
_cell_angle_alpha 90.00
_cell_angle_beta 90.00
_cell_angle_gamma 90.00
_space_group_name_H-M_alt 'P 1'
_space_group_IT_number 1
_space_group_name_Hall 'P 1'
loop_
_atom_site_label
_atom_site_type_symbol
_atom_site_fract_x
_atom_site_fract_y
_atom_site_fract_z
Te1 Te 0.1579 0.3421 0.0000
Te2 Te 0.3421 0.8421 0.0000
Te3 Te 0.6579 0.1579 0.0000
Te4 Te 0.8421 0.6579 0.0000
Mg1 Mg 0.1422 0.6422 0.5000
Mg2 Mg 0.6422 0.8578 0.5000
Mg3 Mg 0.8578 0.3578 0.5000
Mg4 Mg 0.3578 0.1422 0.5000
Pb1 Pb 0.0000 0.0000 0.0000
Pb2 Pb 0.5000 0.5000 0.0000
```

Computed properties:
Formation energy without anion corrections = -0.34 eV per atom
E = -29.79 eV per cell



[9]
A geometry-optimized Mn2ZnAg structure, computed with GGA-PBE.

CIF file:
```
data_Mn2ZnAg
_chemical_formula_sum 'Mn2 Zn1 Ag1'
_cell_length_a 2.8859
_cell_length_b 2.8857
_cell_length_c 6.8824
_cell_angle_alpha 90.00
_cell_angle_beta 90.00
_cell_angle_gamma 90.00
_space_group_name_H-M_alt 'P 1'
_space_group_IT_number 1
_space_group_name_Hall 'P 1'
loop_
_atom_site_label
_atom_site_type_symbol
_atom_site_fract_x
_atom_site_fract_y
_atom_site_fract_z
Zn1 Zn 0.0000 0.0000 0.4731
Ag1 Ag 0.5000 0.5000 0.7513
Mn1 Mn 0.0000 0.0000 0.0410
Mn2 Mn 0.5000 0.5000 0.2347
```

Computed properties:
E = -22.01 eV per cell



[10]
A geometry-optimized NaTeRuN2 structure, computed with GGA-PBE.

CIF file:
```
data_NaTeRuN2
_chemical_formula_sum 'Na1 Te1 Ru1 N2'
_cell_length_a 4.0372
_cell_length_b 4.0372
_cell_length_c 5.2910
_cell_angle_alpha 90.00
_cell_angle_beta 90.00
_cell_angle_gamma 90.00
_space_group_name_H-M_alt 'P 1'
_space_group_IT_number 1
_space_group_name_Hall 'P 1'
loop_
_atom_site_label
_atom_site_type_symbol
_atom_site_fract_x
_atom_site_fract_y
_atom_site_fract_z
N1 N 0.5000 0.0000 0.0000
N2 N 0.0000 0.5000 0.0000
Te1 Te 0.0000 0.0000 0.5000
Ru1 Ru 0.5000 0.5000 0.5000
Na1 Na 0.0000 0.0000 0.0000
```

Computed properties:
Formation energy without anion corrections = 2.56 eV per atom
E = -17.60 eV per cell



[11]
A geometry-optimized GdMgSnBi structure, computed with GGA-PBE.

CIF file:
```
data_GdMgSnBi
_chemical_formula_sum 'Gd1 Mg1 Sn1 Bi1'
_cell_length_a 5.3789
_cell_length_b 5.3789
_cell_length_c 5.3789
_cell_angle_alpha 60.00
_cell_angle_beta 60.00
_cell_angle_gamma 60.00
_space_group_name_H-M_alt 'P 1'
_space_group_IT_number 1
_space_group_name_Hall 'P 1'
loop_
_atom_site_label
_atom_site_type_symbol
_atom_site_fract_x
_atom_site_fract_y
_atom_site_fract_z
Bi1 Bi 0.5000 0.5000 0.5000
Mg1 Mg 0.2500 0.2500 0.2500
Sn1 Sn 0.0000 0.0000 0.0000
Gd1 Gd 0.7500 0.7500 0.7500
```

Computed properties:
E = -24.86 eV per cell



[12]
A geometry-optimized KTe2Pd structure, computed with GGA-PBE.

CIF file:
```
data_KTe2Pd
_chemical_formula_sum 'K1 Te2 Pd1'
_cell_length_a 9.7605
_cell_length_b 9.7605
_cell_length_c 9.7605
_cell_angle_alpha 24.45
_cell_angle_beta 24.45
_cell_angle_gamma 24.45
_space_group_name_H-M_alt 'P 1'
_space_group_IT_number 1
_space_group_name_Hall 'P 1'
loop_
_atom_site_label
_atom_site_type_symbol
_atom_site_fract_x
_atom_site_fract_y
_atom_site_fract_z
Pd1 Pd 0.5000 0.5000 0.5000
Te1 Te 0.8815 0.8815 0.8815
Te2 Te 0.1185 0.1185 0.1185
K1 K 0.0000 0.0000 0.0000
```

Computed properties:
Formation energy without anion corrections = -0.32 eV per atom
E = -13.84 eV per cell



What is the E in the ninth record?
-22.01 eV per cell